1.
# LaSnTe2S, optimized geometry, DFT PBE
# Energy ... -4.897 eV/atom
# ΔE_f (raw) ... -1.029 eV/atom
# Crystal system ... tetragonal
# Theoretical density ... 5.98 g/cm³
data_LaSnTe2S
_cell_length_a 4.523
_cell_length_b 4.523
_cell_length_c 14.804
_cell_angle_alpha 90.00
_cell_angle_beta 90.00
_cell_angle_gamma 90.00
_space_group_name_H-M_alt 'P 4/n m m'
_space_group_IT_number 129
loop_
_space_group_symop_operation_xyz
'x,y,z'
'-x,-y,-z'
'-y+1/2,x,z'
'y+1/2,-x,-z'
'-x+1/2,-y+1/2,z'
'x+1/2,y+1/2,-z'
'y,-x+1/2,z'
'-y,x+1/2,-z'
'x+1/2,-y,-z'
'-x+1/2,y,z'
'-y,-x,-z'
'y,x,z'
'-x,y+1/2,-z'
'x,-y+1/2,z'
'y+1/2,x+1/2,-z'
'-y+1/2,-x+1/2,z'
loop_
_atom_site_label
_atom_site_type_symbol
_atom_site_fract_x
_atom_site_fract_y
_atom_site_fract_z
La1 La 0.250 0.250 0.118
Sn1 Sn 0.250 0.250 0.599
Te1 Te 0.250 0.250 0.382
Te2 Te 0.250 0.250 0.797
S1 S 0.250 0.750 0.000



2.
# Tb2MnCo, optimized geometry, DFT PBE
# Energy ... -5.848 eV/atom
# Crystal system ... trigonal
# E_form ... 0.536 eV per atom
# Theoretical density ... 7.26 g/cm³
data_Tb2MnCo
_cell_length_a 3.4534
_cell_length_b 3.4534
_cell_length_c 28.6695
_cell_angle_alpha 90.00
_cell_angle_beta 90.00
_cell_angle_gamma 120.00
_space_group_name_H-M_alt 'R -3 m'
_space_group_IT_number 166
_space_group_name_Hall '-R 3 2"'
loop_
_atom_site_label
_atom_site_type_symbol
_atom_site_fract_x
_atom_site_fract_y
_atom_site_fract_z
Tb1 Tb 0.0000 0.0000 0.1058
Mn1 Mn 0.0000 0.0000 0.0000
Co1 Co 0.0000 0.0000 0.5000